# 1
First-principles (PBE-GGA) data for Na2TeS after structural relaxation, as listed in Alexandria via LeMat-Bulk.

Cell: 5.148 5.148 5.148 Å, 60.00 60.00 60.00°
Element x y z (fractional)
Na1 0.250 0.250 0.250
Na2 0.750 0.750 0.750
Te1 0.000 0.000 0.000
S1 0.500 0.500 0.500

Raw formation energy (eV/atom): -0.44
Energy above the lowest structure with this stoichiometry (eV per formula unit): 0.78
Crystal system: cubic
V (Å³ per atom): 24.1
Space-group type: No. 225
Electronic total energy (eV per cell): -11.7

=====

# 2
First-principles (PBE-GGA) data for CaTiAs2O6 after structural relaxation, as listed in Alexandria via LeMat-Bulk.

Cell: 5.477 5.477 6.944 Å, 66.83 66.85 60.00°
Element x y z (fractional)
Ca1 0.000 0.000 0.000
Ti1 0.395 0.395 0.815
As1 0.165 0.166 0.502
As2 0.715 0.715 0.856
O1 0.213 0.332 0.658
O2 0.330 0.797 0.658
O3 0.434 0.993 0.007
O4 0.566 0.434 0.007
O5 0.796 0.215 0.657
O6 0.993 0.566 0.007

Raw formation energy (eV/atom): -2.07
Crystal system: triclinic
V (Å³ per atom): 16.1
Space-group type: No. 1
Electronic total energy (eV per cell): -69.6

=====

# 3
First-principles (PBE-GGA) data for Na2In17 after structural relaxation, as listed in Alexandria via LeMat-Bulk.

Cell: 8.588 8.588 8.588 Å, 69.55 69.55 69.55°
Element x y z (fractional)
Na1 0.211 0.211 0.211
Na2 0.789 0.789 0.789
In1 0.000 0.500 0.500
In2 0.087 0.087 0.678
In3 0.087 0.678 0.087
In4 0.197 0.500 0.803
In5 0.197 0.803 0.500
In6 0.322 0.913 0.913
In7 0.400 0.400 0.400
In8 0.500 0.000 0.500
In9 0.500 0.197 0.803
In10 0.500 0.500 0.000
In11 0.500 0.803 0.197
In12 0.600 0.600 0.600
In13 0.678 0.087 0.087
In14 0.803 0.197 0.500
In15 0.803 0.500 0.197
In16 0.913 0.322 0.913
In17 0.913 0.913 0.322

ΔH_f (0 K) (eV/atom): 0.011
Crystal system: trigonal
V (Å³ per atom): 28.3
Space-group type: No. 166
Electronic total energy (eV per cell): -49.0

=====

# 4
First-principles (PBE-GGA) data for AgPb2Cl after structural relaxation, as listed in Alexandria via LeMat-Bulk.

Cell: 7.010 7.010 4.915 Å, 107.11 107.11 28.32°
Element x y z (fractional)
Ag1 0.000 0.000 0.000
Pb1 0.440 0.440 0.449
Pb2 0.705 0.705 0.223
Cl1 0.223 0.223 0.739

Raw formation energy (eV/atom): -0.17
Crystal system: monoclinic
V (Å³ per atom): 27.3
Space-group type: No. 8
Electronic total energy (eV per cell): -12.8

=====

# 5
First-principles (PBE-GGA) data for Fe2Au2I7 after structural relaxation, as listed in Alexandria via LeMat-Bulk.

Cell: 7.845 7.845 10.537 Å, 91.06 91.06 119.79°
Element x y z (fractional)
Fe1 0.001 0.001 0.241
Fe2 0.999 0.999 0.759
Au1 0.110 0.890 0.000
Au2 0.890 0.110 0.000
I1 0.000 0.000 0.500
I2 0.017 0.340 0.208
I3 0.313 0.313 0.821
I4 0.340 0.017 0.208
I5 0.660 0.983 0.792
I6 0.687 0.687 0.179
I7 0.983 0.660 0.792

Raw formation energy (eV/atom): -0.08
Crystal system: monoclinic
V (Å³ per atom): 51.1
Space-group type: No. 12
Electronic total energy (eV per cell): -35.2

=====

# 6
First-principles (PBE-GGA) data for Pr7Sm4Ho after structural relaxation, as listed in Alexandria via LeMat-Bulk.

Cell: 8.776 8.776 9.478 Å, 114.22 114.22 40.73°
Element x y z (fractional)
Pr1 0.000 0.000 0.000
Pr2 0.292 0.292 0.124
Pr3 0.292 0.292 0.775
Pr4 0.418 0.418 0.562
Pr5 0.582 0.582 0.438
Pr6 0.708 0.708 0.225
Pr7 0.708 0.708 0.876
Sm1 0.073 0.073 0.698
Sm2 0.173 0.173 0.389
Sm3 0.827 0.827 0.611
Sm4 0.927 0.927 0.302
Ho1 0.500 0.500 0.000

ΔH_f (0 K) (eV/atom): 0.209
Energy above the lowest structure with this stoichiometry (eV per formula unit): 2.34
Crystal system: monoclinic
V (Å³ per atom): 35.7
Space-group type: No. 12
Electronic total energy (eV per cell): -54.4

=====

# 7
First-principles (PBE-GGA) data for ZrSc2Fe2 after structural relaxation, as listed in Alexandria via LeMat-Bulk.

Cell: 7.245 7.245 3.293 Å, 90.00 90.00 90.00°
Element x y z (fractional)
Zr1 0.000 0.000 0.000
Zr2 0.500 0.500 0.000
Sc1 0.148 0.352 0.500
Sc2 0.352 0.852 0.500
Sc3 0.648 0.148 0.500
Sc4 0.852 0.648 0.500
Fe1 0.153 0.653 0.000
Fe2 0.347 0.153 0.000
Fe3 0.653 0.847 0.000
Fe4 0.847 0.347 0.000

ΔH_f (0 K) (eV/atom): 0.018
Crystal system: tetragonal
V (Å³ per atom): 17.3
Space-group type: No. 127
Electronic total energy (eV per cell): -76.1

=====

# 8
First-principles (PBE-GGA) data for BSe2I after structural relaxation, as listed in Alexandria via LeMat-Bulk.

Cell: 4.923 4.923 4.923 Å, 60.00 60.00 60.00°
Element x y z (fractional)
B1 0.000 0.000 0.000
Se1 0.250 0.250 0.250
Se2 0.750 0.750 0.750
I1 0.500 0.500 0.500

Raw formation energy (eV/atom): 1.52
Energy above the lowest structure with this stoichiometry (eV per formula unit): 6.08
Crystal system: cubic
V (Å³ per atom): 21.1
Space-group type: No. 225
Electronic total energy (eV per cell): -9.1